# La3Nd4Ga4, optimized geometry, DFT PBE-GGA
# **Formation energy**: -366 meV/atom
data_La3Nd4Ga4
_chemical_formula_sum 'La6 Nd8 Ga8'
_space_group_name_H-M_alt 'I m m m'
_space_group_IT_number 71
_space_group_name_Hall '-I 2 2'
_cell_length_a 4.536
_cell_length_b 8.136
_cell_length_c 17.709
_cell_angle_alpha 90.00
_cell_angle_beta 90.00
_cell_angle_gamma 90.00
loop_
_atom_site_label
_atom_site_type_symbol
_atom_site_fract_x
_atom_site_fract_y
_atom_site_fract_z
La1 La 0.000 0.000 0.000
La2 La 0.000 0.500 0.105
Nd1 Nd 0.000 0.294 0.333
Ga1 Ga 0.000 0.000 0.233
Ga2 Ga 0.000 0.187 0.500

# Pm3Sm2Ni2, optimized geometry, DFT PBE-GGA
# **Formation energy**: -190 meV/atom
data_Pm3Sm2Ni2
_chemical_formula_sum 'Pm6 Sm4 Ni4'
_space_group_name_H-M_alt 'C 1 2/m 1'
_space_group_IT_number 12
_cell_length_a 12.204
_cell_length_b 3.737
_cell_length_c 9.098
_cell_angle_alpha 90.00
_cell_angle_beta 114.64
_cell_angle_gamma 90.00
loop_
_space_group_symop_operation_xyz
'x,y,z'
'-x,-y,-z'
'-x,y,-z'
'x,-y,z'
'x+1/2,y+1/2,z'
'-x+1/2,-y+1/2,-z'
'-x+1/2,y+1/2,-z'
'x+1/2,-y+1/2,z'
loop_
_atom_site_label
_atom_site_type_symbol
_atom_site_fract_x
_atom_site_fract_y
_atom_site_fract_z
Pm1 Pm 0.000 0.000 0.000
Pm2 Pm 0.115 0.000 0.430
Sm1 Sm 0.167 0.500 0.808
Ni1 Ni 0.167 0.500 0.231

# Th8GeC4S3, optimized geometry, DFT PBE-GGA
# **E_form (uncorrected)**: -1015.6 meV/atom
data_Th8GeC4S3
_chemical_formula_sum 'Th24 Ge3 C12 S9'
_space_group_name_H-M_alt 'R -3 m'
_space_group_IT_number 166
_space_group_name_Hall '-R 3 2"'
_cell_length_a 7.7706
_cell_length_b 7.7706
_cell_length_c 20.2004
_cell_angle_alpha 90.00
_cell_angle_beta 90.00
_cell_angle_gamma 120.00
loop_
_atom_site_label
_atom_site_type_symbol
_atom_site_fract_x
_atom_site_fract_y
_atom_site_fract_z
Th1 Th 0.0000 0.0000 0.2373
Th2 Th 0.0014 0.5007 0.2374
Ge1 Ge 0.0000 0.0000 0.0000
C1 C 0.0000 0.0000 0.5000
C2 C 0.0000 0.5000 0.5000
S1 S 0.0000 0.5000 0.0000

# HfSc2UAs4, optimized geometry, DFT PBE-GGA
# **Formation energy**: -1115 meV/atom
data_HfSc2UAs4
_chemical_formula_sum 'Hf1 Sc2 U1 As4'
_space_group_name_H-M_alt 'P 1 2/m 1'
_space_group_IT_number 10
_cell_length_a 6.770
_cell_length_b 3.912
_cell_length_c 6.796
_cell_angle_alpha 90.00
_cell_angle_beta 109.18
_cell_angle_gamma 90.00
loop_
_space_group_symop_operation_xyz
'x,y,z'
'-x,-y,-z'
'-x,y,-z'
'x,-y,z'
loop_
_atom_site_label
_atom_site_type_symbol
_atom_site_fract_x
_atom_site_fract_y
_atom_site_fract_z
Hf1 Hf 0.000 0.000 0.000
Sc1 Sc 0.000 0.500 0.500
Sc2 Sc 0.500 0.000 0.500
U1 U 0.500 0.500 0.000
As1 As 0.239 0.000 0.741
As2 As 0.244 0.500 0.252

# PmGaRuO6, optimized geometry, DFT PBE-GGA
# **E_form (uncorrected)**: -1784.9 meV/atom
data_PmGaRuO6
_chemical_formula_sum 'Pm2 Ga2 Ru2 O12'
_space_group_name_H-M_alt 'P -3 1 c'
_space_group_IT_number 163
_space_group_name_Hall '-P 3 2c'
_cell_length_a 5.1819
_cell_length_b 5.1819
_cell_length_c 10.0701
_cell_angle_alpha 90.00
_cell_angle_beta 90.00
_cell_angle_gamma 120.00
loop_
_atom_site_label
_atom_site_type_symbol
_atom_site_fract_x
_atom_site_fract_y
_atom_site_fract_z
Pm1 Pm 0.0000 0.0000 0.0000
Ga1 Ga 0.3333 0.6667 0.2500
Ru1 Ru 0.3333 0.6667 0.7500
O1 O 0.0085 0.3709 0.6427

# Dy2ScAl, optimized geometry, DFT PBE-GGA
# **Formation energy**: -168 meV/atom
# **E above lowest polymorph**: 41 meV per atom
data_Dy2ScAl
_chemical_formula_sum 'Dy2 Sc1 Al1'
_space_group_name_H-M_alt 'P 4/m m m'
_space_group_IT_number 123
_space_group_name_Hall '-P 4 2'
_cell_length_a 3.458
_cell_length_b 3.458
_cell_length_c 8.710
_cell_angle_alpha 90.00
_cell_angle_beta 90.00
_cell_angle_gamma 90.00
loop_
_atom_site_label
_atom_site_type_symbol
_atom_site_fract_x
_atom_site_fract_y
_atom_site_fract_z
Dy1 Dy 0.000 0.000 0.225
Sc1 Sc 0.500 0.500 0.500
Al1 Al 0.500 0.500 0.000

| no. | uncorrected energy (eV per atom) |
| --- | --- |
| 1 | -4.544 |
| 2 | -5.226 |
| 3 | -8.094 |
| 4 | -7.678 |
| 5 | -6.985 |
| 6 | -4.988 |